(1)
Computed, not measured: a geometry-optimized Sr2Zn3Au structure at the GGA-PBE level of DFT.

Summary:
- Energy: -2.15 eV/atom
- Formation enthalpy at 0 K: -0.411 eV per atom

a = 9.165 Å, b = 9.005 Å, c = 6.236 Å
α = 71.31°, β = 68.56°, γ = 40.13°
Sites, in units of the cell vectors:
Sr  0.244  0.756  0.756
Sr  0.250  0.250  0.250
Sr  0.750  0.750  0.750
Sr  0.756  0.244  0.244
Zn  0.171  0.665  0.335
Zn  0.335  0.335  0.665
Zn  0.335  0.829  0.171
Zn  0.665  0.171  0.829
Zn  0.665  0.665  0.335
Zn  0.829  0.335  0.665
Au  0.167  0.167  0.833
Au  0.833  0.833  0.167


(2)
Computed, not measured: a geometry-optimized SrZn9Au2 structure at the GGA-PBE level of DFT.

Summary:
- Energy: -1.77 eV/atom
- Energy above the most stable polymorph in this dataset: 133 meV/atom
- Formation enthalpy at 0 K: -0.132 eV per atom

a = 8.651 Å, b = 8.651 Å, c = 3.463 Å
α = 90.00°, β = 90.00°, γ = 120.00°
Sites, in units of the cell vectors:
Sr  0.000  0.000  0.000
Zn  0.000  0.500  0.000
Zn  0.188  0.376  0.500
Zn  0.188  0.812  0.500
Zn  0.376  0.188  0.500
Zn  0.500  0.000  0.000
Zn  0.500  0.500  0.000
Zn  0.624  0.812  0.500
Zn  0.812  0.188  0.500
Zn  0.812  0.624  0.500
Au  0.333  0.667  0.000
Au  0.667  0.333  0.000